19
Lattice="-1.808 2.975 -4.199 -4.333 -3.075 -1.233 -3.725 2.896 2.736" Properties=species:S:1:pos:R:3 comment="PBE Be17ReNi, optimized geometry" crystal_system=trigonal delta_e_f_mev_per_atom=-115 space_group="R3m (160)" pbc="T T T"
Be -5.557 0.366 0.300
Be -2.394 2.919 -2.053
Be -3.889 1.060 1.490
Be -3.541 -1.194 -2.121
Be -7.943 1.363 -3.984
Be -2.578 1.114 -3.253
Be -3.125 2.889 0.593
Be -4.616 0.405 -3.104
Be -7.649 4.248 -2.067
Be -5.527 -0.509 -1.534
Be -5.234 2.372 0.381
Be -8.862 2.512 -2.422
Be -1.038 0.294 -0.284
Be -4.317 3.336 -1.156
Be -4.309 2.410 -2.965
Be -8.870 1.325 -0.633
Be -4.121 -1.218 -0.025
Ni -3.628 1.028 -0.991
Re -6.532 1.852 -1.785